Entry from Alexandria: TaReSe after structural relaxation (PBE-GGA).

a = 4.320 Å, b = 4.320 Å, c = 3.034 Å
α = 90.00°, β = 90.00°, γ = 120.00°
Element x y z (fractional)
Se 0.667 0.333 0.167
Re 0.000 0.000 0.167
Ta 0.333 0.667 0.667

Computed properties:
Energy relative to the lowest polymorph listed for this composition = 0.00 kJ/mol of atoms
Mass density = 15.1 Mg/m³
Total magnetic moment = 0.00 μB/f.u.
Formation energy from raw total energies = 0.0774 eV/atom
Total energy = -9.184 eV per atom
D(E_F) = 0.43 states/eV/atom